Below is a geometry-optimized LuHgAu2 structure, with properties calculated at the PBE level.

spin magnetization = 0.0 μB per cell
energy of formation = -552 meV/atom

Unit cell a=3.596 b=3.596 c=6.569 alpha=90.00 beta=90.00 gamma=90.00
Sites, in units of the cell vectors:
1 Au 0.000 0.000 0.238
2 Au 0.000 0.000 0.762
3 Lu 0.500 0.500 0.000
4 Hg 0.500 0.500 0.500